[1]
Density functional theory data (PBE) for a geometry-optimized NaCd4Hg5 structure.

Lattice parameters (Å, degrees): 3.781 3.781 17.245 90.00 90.00 90.00
Fractional coordinates of all 10 atoms:
1 Na 0.000 0.000 0.000
2 Cd 0.000 0.000 0.205
3 Cd 0.000 0.000 0.400
4 Cd 0.000 0.000 0.600
5 Cd 0.000 0.000 0.795
6 Hg 0.500 0.500 0.105
7 Hg 0.500 0.500 0.303
8 Hg 0.500 0.500 0.500
9 Hg 0.500 0.500 0.697
10 Hg 0.500 0.500 0.895

Output
Total DFT energy (no corrections) in Ry/atom: -0.0515
Crystal system: tetragonal
Formation enthalpy at 0 K in eV per atom: -0.052
Calculated density in g cm⁻³: 9.937
Total magnetization in μB/cell: 0.000
Energy relative to the lowest polymorph listed for this composition in meV per atom: 11
D(E_F) in states/eV/cell: 2.797



[2]
Density functional theory data (PBE) for a geometry-optimized NaCd3Hg8 structure.

Lattice parameters (Å, degrees): 6.212 6.212 9.289 90.00 90.00 120.00
Fractional coordinates of all 12 atoms:
1 Na 0.000 0.000 0.500
2 Cd 0.667 0.333 0.999
3 Cd 0.333 0.667 0.001
4 Cd 0.000 0.000 0.000
5 Hg 0.667 0.001 0.245
6 Hg 0.335 0.333 0.245
7 Hg 0.999 0.665 0.245
8 Hg 0.333 0.999 0.755
9 Hg 0.665 0.667 0.755
10 Hg 0.001 0.335 0.755
11 Hg 0.667 0.333 0.501
12 Hg 0.333 0.667 0.499

Output
Total DFT energy (no corrections) in Ry/atom: -0.0419
Crystal system: trigonal
Formation enthalpy at 0 K in eV per atom: -0.030
Calculated density in g cm⁻³: 10.512
Total magnetization in μB/cell: 0.000
D(E_F) in states/eV/cell: 3.891



- total DFT energy (no corrections) of number 1 (NaCd4Hg5)?
  -0.0515 Ry/atom



- What is the D(E_F) in the first record?
  2.797 states/eV/cell